# 1
The following is a DFT calculation (GGA-PBE) of a relaxed structure of HoErFeRh. Values from VASP.

Cell and atoms, written as Quantum ESPRESSO input:
```
&SYSTEM
  ibrav = 0, nat = 4, ntyp = 4
/
ATOMIC_SPECIES
Er 167.26 Er.upf
Fe 55.84 Fe.upf
Ho 164.93 Ho.upf
Rh 102.91 Rh.upf
ATOMIC_POSITIONS angstrom
Er 7.1219 4.1118 2.9075
Fe 4.7479 2.7412 1.9383
Ho 2.3740 1.3706 0.9692
Rh 0.0000 0.0000 0.0000
CELL_PARAMETERS angstrom
4.7479 0.0000 0.0000
2.3740 4.1118 0.0000
2.3740 1.3706 3.8767
```

Summary:
Theoretical density in g/cm³: 10.772
DFT total energy in hartree per atom: -0.2419
Spin magnetization in μB/f.u.: 0.491

***

# 2
The following is a DFT calculation (GGA-PBE) of a relaxed structure of Pm4NdSc3. Values from VASP.

Cell and atoms, written as Quantum ESPRESSO input:
```
&SYSTEM
  ibrav = 0, nat = 8, ntyp = 3
/
ATOMIC_SPECIES
Pm 145.00 Pm.upf
Nd 144.24 Nd.upf
Sc 44.96 Sc.upf
ATOMIC_POSITIONS angstrom
Pm 4.0797 -3.4947 -0.4599
Pm 9.3911 -1.6340 1.8406
Pm 12.6453 -1.5264 3.6461
Pm 0.8254 -3.6023 -2.2654
Nd -0.4175 -1.4541 0.8391
Sc 7.3665 -3.9497 0.3868
Sc -1.1715 -1.0455 -2.3948
Sc 6.1043 -1.1790 0.9938
CELL_PARAMETERS angstrom
-0.8349 -2.9082 1.6781
-2.3431 -2.0911 -4.7896
16.6487 -0.1295 4.4922
```

Summary:
Theoretical density in g/cm³: 5.311
DFT total energy in hartree per atom: -0.1861
Spin magnetization in μB/f.u.: 0.000

***

# 3
The following is a DFT calculation (GGA-PBE) of a relaxed structure of BaLaPm4Se8. Values from VASP.

Cell and atoms, written as Quantum ESPRESSO input:
```
&SYSTEM
  ibrav = 0, nat = 14, ntyp = 4
/
ATOMIC_SPECIES
Pm 145.00 Pm.upf
Ba 137.33 Ba.upf
Se 78.96 Se.upf
La 138.91 La.upf
ATOMIC_POSITIONS angstrom
Pm -5.2183 -7.4527 -4.5915
Pm -0.1759 -6.2516 -4.3634
Pm 1.1022 -4.2681 -0.7129
Pm -1.9605 -7.3486 -0.5547
Ba -1.3253 -11.2862 -3.8716
Se -2.7904 -6.6763 -5.8633
Se -1.9108 -10.8560 -6.8309
Se -5.0298 -13.9338 -6.3699
Se -0.4635 -8.6098 -2.6969
Se -1.3887 -4.9281 -2.0701
Se -6.0415 -9.9463 -5.6954
Se -3.9317 -12.0982 -2.5178
Se -4.6848 -7.8408 -1.8203
La 2.1998 -8.4618 -1.4064
CELL_PARAMETERS angstrom
-6.1942 -6.2302 0.3199
-2.5850 -4.0116 -7.3831
2.2221 -8.4838 -1.4023
```

Summary:
Theoretical density in g/cm³: 5.065
E_form (uncorrected) in eV/atom: -1.82
DFT total energy in hartree per atom: -0.2079
Spin magnetization in μB/f.u.: 0.000

***

# 4
The following is a DFT calculation (GGA-PBE) of a relaxed structure of RbGeSeO6. Values from VASP.

Cell and atoms, written as Quantum ESPRESSO input:
```
&SYSTEM
  ibrav = 0, nat = 9, ntyp = 4
/
ATOMIC_SPECIES
Rb 85.47 Rb.upf
O 16.00 O.upf
Ge 72.64 Ge.upf
Se 78.96 Se.upf
ATOMIC_POSITIONS angstrom
Rb 4.9705 -0.0003 6.5092
O 5.5659 4.2383 2.1996
O 4.3758 4.2383 4.3097
O 3.4875 2.7008 2.1996
O 6.4531 2.7003 4.3098
O 5.8582 1.6696 2.1997
O 4.0825 1.6703 4.3098
Ge 2.4853 1.4347 3.2546
Se 4.9705 2.8696 3.2547
CELL_PARAMETERS angstrom
4.9705 0.0000 0.0000
2.4853 4.3046 0.0000
0.0002 -0.0003 6.5094
```

Summary:
Theoretical density in g/cm³: 3.971
E_form (uncorrected) in eV/atom: -1.01
DFT total energy in hartree per atom: -0.1955
Spin magnetization in μB/f.u.: 1.070

***

# 5
The following is a DFT calculation (GGA-PBE) of a relaxed structure of Ac4LaSm4. Values from VASP.

Cell and atoms, written as Quantum ESPRESSO input:
```
&SYSTEM
  ibrav = 0, nat = 9, ntyp = 3
/
ATOMIC_SPECIES
La 138.91 La.upf
Ac 227.00 Ac.upf
Sm 150.36 Sm.upf
ATOMIC_POSITIONS angstrom
La 0.0000 0.0000 0.0000
Ac -1.7899 1.9299 7.1397
Ac 5.7384 5.7614 5.9607
Ac 2.3620 4.6117 11.5157
Ac 1.5866 3.0796 1.5847
Sm 3.2039 3.6578 7.8830
Sm 2.2146 7.0734 6.7835
Sm 1.7340 0.6178 6.3169
Sm 0.7446 4.0335 5.2174
CELL_PARAMETERS angstrom
-1.8868 4.4352 2.3660
-0.7984 -1.5437 8.3494
6.6338 4.7998 2.3850
```

Summary:
Theoretical density in g/cm³: 7.780
DFT total energy in hartree per atom: -0.1628
Spin magnetization in μB/f.u.: 0.000

***

# 6
The following is a DFT calculation (GGA-PBE) of a relaxed structure of AlH4NF4. Values from VASP.

Cell and atoms, written as Quantum ESPRESSO input:
```
&SYSTEM
  ibrav = 0, nat = 40, ntyp = 4
/
ATOMIC_SPECIES
H 1.01 H.upf
N 14.01 N.upf
F 19.00 F.upf
Al 26.98 Al.upf
ATOMIC_POSITIONS angstrom
H 3.4088 2.5513 9.0867
H 2.5655 3.4088 10.2756
H 2.5655 3.4088 2.6326
H 2.5513 1.7081 10.2756
H 5.1097 0.8504 10.2756
H 0.8504 0.0071 3.8215
H 4.2665 5.1097 9.0867
H 2.5513 1.7081 2.6326
H 4.2665 5.1097 3.8215
H 0.8504 0.0071 9.0867
H 1.7081 2.5655 9.0867
H 0.0071 4.2665 10.2756
H 5.1097 0.8504 2.6326
H 0.0071 4.2665 2.6326
H 1.7081 2.5655 3.8215
H 3.4088 2.5513 3.8215
N 2.5584 2.5584 9.6812
N 2.5584 2.5584 3.2271
N 0.0000 0.0000 9.6812
N 0.0000 0.0000 3.2271
F 0.0000 2.5584 11.1097
F 0.0000 2.5584 1.7985
F 2.5584 0.0000 8.2526
F 1.5167 1.5147 0.0000
F 4.0751 1.0437 0.0000
F 1.0437 1.0417 6.4541
F 0.0000 2.5584 4.6556
F 3.6001 3.6022 0.0000
F 3.6022 1.5167 6.4541
F 1.0417 4.0731 0.0000
F 2.5584 0.0000 11.1097
F 4.0731 4.0751 6.4541
F 0.0000 2.5584 8.2526
F 2.5584 0.0000 4.6556
F 2.5584 0.0000 1.7985
F 1.5147 3.6001 6.4541
Al 2.5584 0.0000 6.4541
Al 2.5584 0.0000 0.0000
Al 0.0000 2.5584 0.0000
Al 0.0000 2.5584 6.4541
CELL_PARAMETERS angstrom
5.1168 0.0000 0.0000
0.0000 5.1168 0.0000
0.0000 0.0000 12.9082
```

Summary:
Theoretical density in g/cm³: 2.378
DFT total energy in hartree per atom: -0.1950
Spin magnetization in μB/f.u.: 0.000

***

# 7
The following is a DFT calculation (GGA-PBE) of a relaxed structure of BeV2Os. Values from VASP.

Cell and atoms, written as Quantum ESPRESSO input:
```
&SYSTEM
  ibrav = 0, nat = 4, ntyp = 3
/
ATOMIC_SPECIES
V 50.94 V.upf
Be 9.01 Be.upf
Os 190.23 Os.upf
ATOMIC_POSITIONS angstrom
V 0.0446 -0.5868 1.0754
V 0.1548 -2.0361 3.7313
Be -1.3911 -1.4362 -0.7260
Os -1.2914 -2.7476 1.6774
CELL_PARAMETERS angstrom
-2.9985 -0.2423 -0.0078
0.2163 -2.6301 -1.4441
0.1994 -2.6229 4.8067
```

Summary:
Theoretical density in g/cm³: 10.084
DFT total energy in hartree per atom: -0.3105
Spin magnetization in μB/f.u.: 0.107

***

# 8
The following is a DFT calculation (GGA-PBE) of a relaxed structure of TmSi4Rh2. Values from VASP.

Cell and atoms, written as Quantum ESPRESSO input:
```
&SYSTEM
  ibrav = 0, nat = 7, ntyp = 3
/
ATOMIC_SPECIES
Rh 102.91 Rh.upf
Si 28.09 Si.upf
Tm 168.93 Tm.upf
ATOMIC_POSITIONS angstrom
Rh 2.5747 -4.7327 0.7279
Rh 2.4406 -7.3270 -0.1306
Si 3.5174 -8.2264 -1.9554
Si 3.9641 -6.4577 1.3610
Si 1.0512 -5.6021 -0.7637
Si 1.4978 -3.8333 2.5527
Tm -0.1284 -2.6005 -0.8556
CELL_PARAMETERS angstrom
-0.2567 -5.2010 -1.7112
4.7937 -2.6632 -1.4982
0.4783 -4.1955 3.8067
```

Summary:
Theoretical density in g/cm³: 5.987
E_form (uncorrected) in eV/atom: -0.46
DFT total energy in hartree per atom: -0.2313
Spin magnetization in μB/f.u.: 0.000

***

Please write out number 4 again, unchanged.
The following is a DFT calculation (GGA-PBE) of a relaxed structure of RbGeSeO6. Values from VASP.

Cell and atoms, written as Quantum ESPRESSO input:
```
&SYSTEM
  ibrav = 0, nat = 9, ntyp = 4
/
ATOMIC_SPECIES
Rb 85.47 Rb.upf
O 16.00 O.upf
Ge 72.64 Ge.upf
Se 78.96 Se.upf
ATOMIC_POSITIONS angstrom
Rb 4.9705 -0.0003 6.5092
O 5.5659 4.2383 2.1996
O 4.3758 4.2383 4.3097
O 3.4875 2.7008 2.1996
O 6.4531 2.7003 4.3098
O 5.8582 1.6696 2.1997
O 4.0825 1.6703 4.3098
Ge 2.4853 1.4347 3.2546
Se 4.9705 2.8696 3.2547
CELL_PARAMETERS angstrom
4.9705 0.0000 0.0000
2.4853 4.3046 0.0000
0.0002 -0.0003 6.5094
```

Summary:
Theoretical density in g/cm³: 3.971
E_form (uncorrected) in eV/atom: -1.01
DFT total energy in hartree per atom: -0.1955
Spin magnetization in μB/f.u.: 1.070

***

> What is the formula in the fourth record?

RbGeSeO6

***

> Number 6 is which compound?

AlH4NF4

***

> Which value of DFT total energy does entry 6 give?

-0.1950 hartree per atom